Computed, not measured: MgTaTc2 after structural relaxation at the PBE level of DFT.

## Properties
Energy of formation from the pure elements: 0.01 eV/f.u.
Total DFT energy (no corrections): -8.5413 eV per atom
Density of states at the Fermi level: 0.526 states/eV/atom

Cell lengths 2.804, 2.804, 8.855 Å; angles 90.00, 90.00, 110.24 degrees
Fractional coordinates of all 4 atoms:
Mg  0.500  0.500  0.250
Tc  0.000  0.000  0.991
Tc  0.000  0.000  0.509
Ta  0.500  0.500  0.750

Computed, not measured: H2Se2I after structural relaxation at the PBE level of DFT.

## Properties
Total DFT energy (no corrections): -3.0146 eV per atom
Density of states at the Fermi level: 0.386 states/eV/atom

Cell lengths 3.469, 10.124, 22.373 Å; angles 161.69, 94.45, 90.00 degrees
Fractional coordinates of all 10 atoms:
H  0.243  0.087  0.776
H  0.467  0.413  0.224
Se  0.542  0.152  0.615
I  0.617  0.750  0.000
Se  0.458  0.848  0.385
H  0.757  0.913  0.224
I  0.383  0.250  0.000
H  0.533  0.587  0.776
Se  0.072  0.652  0.615
Se  0.928  0.348  0.385